Density functional theory data (PBE+U) for crystalline MnVNiHO at its relaxed geometry.

Unit cell a=2.996 b=4.153 c=8.938 alpha=90.00 beta=90.00 gamma=90.00
Sites, in units of the cell vectors:
Mn  0.000  0.000  0.000
Mn  0.000  0.500  0.500
V  0.500  0.000  0.305
V  0.500  0.500  0.805
Ni  0.500  0.000  0.610
Ni  0.500  0.500  0.110
H  0.000  0.000  0.497
H  0.000  0.500  0.997
O  0.500  0.000  0.829
O  0.500  0.500  0.329

Computed properties:
The calculation puts the spin magnetization at 1.932 μB/f.u. As for the energy above the most stable polymorph in this dataset: 0.541 eV/f.u.